A geometry-optimized HfReAs2Pd structure. Source: the Alexandria database, functional PBE-GGA.

Calculated values
The total moment comes out at 0.00 μB/cell. As for the space-group type: P4/mmm, No. 123. The value obtained for the density of states at the Fermi level is 5.115 states/eV per cell. Its total energy is -31.3 eV/f.u.

Lattice parameters (Å, degrees): 4.704 4.858 4.704 90.00 90.00 90.00
Element x y z (fractional)
1 Re 0.000 0.500 0.000
2 As 0.000 0.000 0.500
3 As 0.500 0.000 0.000
4 Hf 0.500 0.500 0.500
5 Pd 0.000 0.000 0.000